Record 1
VASP calculation (PBE) on a geometry-optimized LuThZnGa structure.

a b c (Å): 5.083 5.083 5.083
angles (deg): 60.00 60.00 60.00
Atoms (fractional coordinates):
Th 0.500 0.500 0.500
Lu 0.000 0.000 0.000
Ga 0.250 0.250 0.250
Zn 0.750 0.750 0.750

## Properties
Symmetry: No. 216
Energy relative to the elements, eV per atom: -0.39
ρ, Mg/m³: 9.69
E_tot, hartree per atom: -0.1634
Size of the total moment, μB/cell: 0.0

=====

Record 2
VASP calculation (PBE) on a geometry-optimized GdBiPd structure.

a b c (Å): 3.579 3.579 6.336
angles (deg): 106.41 106.41 90.00
Each line ends with the local moment (μB).
Atoms (fractional coordinates):
Bi 0.300 0.300 0.600  0.01
Pd 0.957 0.957 0.914  0.01
Gd 0.593 0.593 0.185  7.03

## Properties
Symmetry: No. 107
Energy relative to the elements, eV per atom: -0.57
ρ, Mg/m³: 10.55
E_tot, hartree per atom: -0.3047
Size of the total moment, μB/cell: 7.2

=====

Record 3
VASP calculation (PBE) on a geometry-optimized MgZrRe2 structure.

a b c (Å): 7.405 7.405 5.888
angles (deg): 51.03 51.03 90.00
Atoms (fractional coordinates):
Re 0.132 0.625 0.250
Re 0.618 0.125 0.250
Re 0.875 0.868 0.750
Mg 0.500 0.500 0.000
Re 0.375 0.382 0.750
Zr 0.000 0.000 0.000
Mg 0.250 0.750 0.500
Zr 0.750 0.250 0.500

## Properties
Symmetry: No. 122
Energy relative to the elements, eV per atom: 0.92
ρ, Mg/m³: 10.98
E_tot, hartree per atom: -0.2882
Size of the total moment, μB/cell: 0.0

=====

Record 4
VASP calculation (PBE) on a geometry-optimized Li2Pu3Br8 structure.

a b c (Å): 8.434 9.392 11.915
angles (deg): 90.00 90.00 116.68
Each line ends with the local moment (μB).
Atoms (fractional coordinates):
Li 0.628 0.256 0.116  0.01
Li 0.128 0.256 0.384  0.01
Pu 0.382 0.264 0.750  5.74
Br 0.373 0.248 0.501  -0.03
Br 0.625 0.752 0.001  -0.03
Br 0.245 0.490 0.245  -0.03
Pu 0.000 0.000 0.000  5.72
Br 0.875 0.248 0.501  -0.03
Br 0.755 0.510 0.755  -0.03
Li 0.372 0.744 0.884  0.01
Br 0.375 0.248 0.999  -0.03
Br 0.627 0.752 0.499  -0.03
Pu 0.618 0.736 0.250  5.74
Br 0.745 0.490 0.255  -0.03
Pu 0.882 0.264 0.750  5.74
Br 0.125 0.752 0.499  -0.03
Pu 0.500 0.000 0.500  5.72
Br 0.127 0.752 0.001  -0.03
Br 0.999 0.998 0.252  -0.03
Br 0.873 0.248 0.999  -0.03
Br 0.001 0.002 0.748  -0.03
Li 0.872 0.744 0.616  0.01
Br 0.255 0.510 0.745  -0.03
Br 0.499 0.998 0.248  -0.03
Br 0.501 0.002 0.752  -0.03
Pu 0.118 0.736 0.250  5.74

## Properties
Symmetry: No. 64
E_form (uncorrected), eV/atom: -1.43
ρ, Mg/m³: 5.45
E_tot, hartree per atom: -0.2226
Size of the total moment, μB/cell: 36.0

=====

Record 5
VASP calculation (PBE) on a geometry-optimized LuCd2 structure.

a b c (Å): 4.938 4.938 3.358
angles (deg): 90.00 90.00 120.00
Atoms (fractional coordinates):
Lu 0.000 0.000 0.000
Cd 0.333 0.667 0.499
Cd 0.667 0.333 0.501

## Properties
Symmetry: No. 191
Energy relative to the elements, eV per atom: -0.27
ρ, Mg/m³: 9.36
E_tot, hartree per atom: -0.0878
Size of the total moment, μB/cell: 0.0

=====

Record 6
VASP calculation (PBE) on a geometry-optimized AcLaPH structure.

a b c (Å): 5.055 5.055 5.055
angles (deg): 60.00 60.00 60.00
Atoms (fractional coordinates):
Ac 0.500 0.500 0.500
P 0.750 0.750 0.750
H 0.250 0.250 0.250
La 0.000 0.000 0.000

## Properties
Symmetry: No. 216
ρ, Mg/m³: 7.23
E_tot, hartree per atom: -0.1882
Size of the total moment, μB/cell: 0.0

=====

Record 7
VASP calculation (PBE) on a geometry-optimized LaRe2Hg structure.

a b c (Å): 3.140 3.139 8.895
angles (deg): 69.33 90.00 90.00
Atoms (fractional coordinates):
Re 0.000 0.949 0.051
La 0.500 0.725 0.775
Hg 0.000 0.537 0.463
Re 0.500 0.289 0.211

## Properties
Symmetry: No. 99
Energy relative to the elements, eV per atom: 0.18
Energy above the lowest structure with this stoichiometry, eV per formula unit: 0.00
ρ, Mg/m³: 14.41
E_tot, hartree per atom: -0.2703
Size of the total moment, μB/cell: 0.0

=====

Record 8
VASP calculation (PBE) on a geometry-optimized Nd5SmY2Th structure.

a b c (Å): 5.728 10.671 10.634
angles (deg): 90.00 90.00 105.57
Atoms (fractional coordinates):
Th 0.201 0.402 0.011
Y 0.113 0.225 0.735
Nd 0.016 0.033 0.022
Y 0.883 0.766 0.819
Nd 0.478 0.957 0.743
Nd 0.722 0.444 0.812
Nd 0.522 0.043 0.243
Sm 0.408 0.817 0.452
Y 0.117 0.234 0.319
Nd 0.278 0.556 0.312
Nd 0.984 0.967 0.522
Y 0.887 0.775 0.235
Th 0.799 0.598 0.511
Nd 0.707 0.415 0.202
Nd 0.390 0.780 0.027
Nd 0.293 0.585 0.702
Nd 0.610 0.220 0.527
Sm 0.592 0.183 0.952

## Properties
Symmetry: No. 36
Energy relative to the elements, eV per atom: 0.15
ρ, Mg/m³: 6.80
E_tot, hartree per atom: -0.1940
Size of the total moment, μB/cell: 0.0

=====

Record 9
VASP calculation (PBE) on a geometry-optimized Nd6Ga3Bi structure.

a b c (Å): 7.412 9.279 9.279
angles (deg): 109.97 90.00 90.00
Atoms (fractional coordinates):
Bi 0.064 0.169 0.831
Ga 0.952 0.735 0.997
Ga 0.452 0.265 0.003
Ga 0.952 0.003 0.265
Nd 0.756 0.897 0.505
Nd 0.256 0.505 0.897
Nd 0.607 0.680 0.755
Nd 0.747 0.031 0.969
Ga 0.840 0.548 0.452
Nd 0.607 0.245 0.320
Ga 0.340 0.452 0.548
Ga 0.452 0.997 0.735
Nd 0.256 0.103 0.495
Nd 0.247 0.969 0.031
Bi 0.564 0.831 0.169
Nd 0.107 0.320 0.245
Nd 0.107 0.755 0.680
Nd 0.204 0.701 0.299
Nd 0.756 0.495 0.103
Nd 0.704 0.299 0.701

## Properties
Symmetry: No. 36
Energy relative to the elements, eV per atom: -0.39
ρ, Mg/m³: 7.11
E_tot, hartree per atom: -0.1673
Size of the total moment, μB/cell: 0.0

=====

Record 10
VASP calculation (PBE) on a geometry-optimized Zr3PtBr structure.

a b c (Å): 5.189 5.189 5.189
angles (deg): 90.00 90.00 90.00
Each line ends with the local moment (μB).
Atoms (fractional coordinates):
Zr 0.500 0.000 0.000  0.61
Br 0.500 0.500 0.500  0.07
Pt 0.000 0.000 0.000  0.03
Zr 0.000 0.500 0.000  0.43
Zr 0.000 0.000 0.500  0.38

## Properties
Symmetry: No. 221
Energy above the lowest structure with this stoichiometry, eV per formula unit: 0.00
E_form (uncorrected), eV/atom: 0.20
ρ, Mg/m³: 6.52
E_tot, hartree per atom: -0.2378
Size of the total moment, μB/cell: 2.5

=====

Record 11
VASP calculation (PBE) on a geometry-optimized CuRhIN2 structure.

a b c (Å): 3.767 3.767 6.623
angles (deg): 90.00 90.00 90.00
Each line ends with the local moment (μB).
Atoms (fractional coordinates):
I 0.000 0.000 0.500  0.08
N 0.000 0.500 0.000  1.11
Rh 0.500 0.500 0.500  0.38
Cu 0.000 0.000 0.000  0.32
N 0.500 0.000 0.000  1.11

## Properties
Symmetry: No. 123
Energy above the lowest structure with this stoichiometry, eV per formula unit: 3.20
E_form (uncorrected), eV/atom: 1.67
ρ, Mg/m³: 5.68
E_tot, hartree per atom: -0.1564
Size of the total moment, μB/cell: 4.0

=====

Record 12
VASP calculation (PBE) on a geometry-optimized Dy2ScTi structure.

a b c (Å): 3.348 3.348 9.152
angles (deg): 90.00 90.00 90.00
Atoms (fractional coordinates):
Sc 0.500 0.500 0.500
Dy 0.000 0.000 0.769
Ti 0.500 0.500 0.000
Dy 0.000 0.000 0.231

## Properties
Symmetry: No. 123
Energy relative to the elements, eV per atom: 0.17
Energy above the lowest structure with this stoichiometry, eV per formula unit: 0.00
ρ, Mg/m³: 6.76
E_tot, hartree per atom: -0.2092
Size of the total moment, μB/cell: 0.0

=====

Record 13
VASP calculation (PBE) on a geometry-optimized HfZrCoCu structure.

a b c (Å): 3.285 4.123 5.236
angles (deg): 90.00 108.28 90.00
Atoms (fractional coordinates):
Zr 0.146 0.000 0.291
Hf 0.860 0.500 0.720
Cu 0.579 0.500 0.158
Co 0.416 0.000 0.831

## Properties
Symmetry: No. 38
Energy relative to the elements, eV per atom: -0.26
Energy above the lowest structure with this stoichiometry, eV per formula unit: 0.00
ρ, Mg/m³: 9.67
E_tot, hartree per atom: -0.2823
Size of the total moment, μB/cell: 0.0

=====

Record 14
VASP calculation (PBE) on a geometry-optimized TiRhIN2 structure.

a b c (Å): 3.869 3.869 5.927
angles (deg): 90.00 90.00 90.00
Atoms (fractional coordinates):
Ti 0.000 0.000 0.000
Rh 0.500 0.500 0.500
N 0.000 0.500 0.000
N 0.500 0.000 0.000
I 0.000 0.000 0.500

## Properties
Symmetry: No. 123
Energy above the lowest structure with this stoichiometry, eV per formula unit: 0.06
E_form (uncorrected), eV/atom: 0.65
ρ, Mg/m³: 5.72
E_tot, hartree per atom: -0.2219
Size of the total moment, μB/cell: 0.0

=====

Record 15
VASP calculation (PBE) on a geometry-optimized Hg2SbAu2 structure.

a b c (Å): 8.598 8.598 3.034
angles (deg): 90.00 90.00 90.00
Atoms (fractional coordinates):
Sb 0.500 0.500 0.000
Au 0.660 0.840 0.500
Hg 0.363 0.863 0.000
Sb 0.000 0.000 0.000
Au 0.160 0.660 0.500
Hg 0.137 0.363 0.000
Hg 0.863 0.637 0.000
Au 0.840 0.340 0.500
Hg 0.637 0.137 0.000
Au 0.340 0.160 0.500

## Properties
Symmetry: No. 127
Energy above the lowest structure with this stoichiometry, eV per formula unit: 0.85
E_form (uncorrected), eV/atom: 0.18
ρ, Mg/m³: 13.57
E_tot, hartree per atom: -0.0762
Size of the total moment, μB/cell: 0.0

=====

Record 16
VASP calculation (PBE) on a geometry-optimized Ce2Se3F2 structure.

a b c (Å): 6.860 7.246 11.884
angles (deg): 90.00 90.00 90.00
Each line ends with the local moment (μB).
Atoms (fractional coordinates):
Se 0.945 0.040 0.385  -0.03
Ce 0.764 0.350 0.250  0.22
Se 0.055 0.540 0.385  -0.03
Se 0.633 0.775 0.750  -0.03
F 0.609 0.089 0.931  -0.01
F 0.391 0.911 0.431  -0.01
Ce 0.236 0.850 0.250  0.22
F 0.391 0.589 0.569  -0.01
Ce 0.322 0.250 0.000  0.62
F 0.391 0.589 0.931  -0.01
Se 0.055 0.960 0.615  -0.03
Ce 0.678 0.750 0.000  0.62
Ce 0.322 0.250 0.500  0.62
Ce 0.678 0.750 0.500  0.62
Se 0.945 0.460 0.615  -0.03
Ce 0.236 0.650 0.750  0.22
F 0.609 0.089 0.569  -0.01
Se 0.633 0.725 0.250  -0.03
Se 0.367 0.225 0.250  -0.03
Se 0.055 0.540 0.115  -0.03
F 0.609 0.411 0.069  -0.01
F 0.391 0.911 0.069  -0.01
Se 0.945 0.040 0.115  -0.03
Se 0.367 0.275 0.750  -0.03
Ce 0.764 0.150 0.750  0.22
Se 0.945 0.460 0.885  -0.03
F 0.609 0.411 0.431  -0.01
Se 0.055 0.960 0.885  -0.03

## Properties
Symmetry: No. 57
E_form (uncorrected), eV/atom: -2.34
ρ, Mg/m³: 6.24
E_tot, hartree per atom: -0.2229
Size of the total moment, μB/cell: 3.0

=====

Record 17
VASP calculation (PBE) on a geometry-optimized Mn2WCl structure.

a b c (Å): 2.933 2.933 7.170
angles (deg): 90.00 90.00 90.00
Each line ends with the local moment (μB).
Atoms (fractional coordinates):
Cl 0.500 0.500 0.742  0.00
W 0.000 0.000 0.455  -0.26
Mn 0.500 0.500 0.264  0.20
Mn 0.000 0.000 0.040  3.69

## Properties
Symmetry: No. 99
Energy above the lowest structure with this stoichiometry, eV per formula unit: 0.85
E_form (uncorrected), eV/atom: 0.39
ρ, Mg/m³: 8.86
E_tot, hartree per atom: -0.2902
Size of the total moment, μB/cell: 3.7

=====

Record 18
VASP calculation (PBE) on a geometry-optimized CsSF2 structure.

a b c (Å): 4.920 4.920 4.920
angles (deg): 60.00 60.00 60.00
Each line ends with the local moment (μB).
Atoms (fractional coordinates):
Cs 0.500 0.500 0.500  0.05
F 0.750 0.750 0.750  0.31
S 0.000 0.000 0.000  1.47
F 0.250 0.250 0.250  0.31

## Properties
Symmetry: No. 225
Energy above the lowest structure with this stoichiometry, eV per formula unit: 2.54
E_form (uncorrected), eV/atom: -0.88
ρ, Mg/m³: 4.00
E_tot, hartree per atom: -0.1125
Size of the total moment, μB/cell: 3.0

=====

Record 19
VASP calculation (PBE) on a geometry-optimized KOsPb2 structure.

a b c (Å): 11.881 11.881 11.881
angles (deg): 15.89 15.89 15.89
Atoms (fractional coordinates):
Pb 0.250 0.250 0.250
Os 0.745 0.745 0.745
Pb 0.019 0.019 0.019
K 0.487 0.487 0.487

## Properties
Symmetry: No. 160
Energy relative to the elements, eV per atom: 0.84
Energy above the lowest structure with this stoichiometry, eV per formula unit: 1.90
ρ, Mg/m³: 9.76
E_tot, hartree per atom: -0.1505
Size of the total moment, μB/cell: 0.0

=====

Record 20
VASP calculation (PBE) on a geometry-optimized Tm4AlCo structure.

a b c (Å): 5.825 8.730 7.568
angles (deg): 115.61 99.69 112.05
Atoms (fractional coordinates):
Tm 0.229 0.276 0.333
Al 0.626 0.376 0.751
Tm 0.604 0.057 0.333
Al 0.374 0.624 0.249
Tm 0.903 0.790 0.156
Tm 0.097 0.210 0.844
Co 0.249 0.999 0.998
Tm 0.771 0.724 0.667
Tm 0.753 0.365 0.156
Tm 0.396 0.943 0.667
Co 0.751 0.001 0.002
Tm 0.247 0.635 0.844

## Properties
Symmetry: No. 15
Energy relative to the elements, eV per atom: -0.24
Energy above the lowest structure with this stoichiometry, eV per formula unit: 0.44
ρ, Mg/m³: 8.56
E_tot, hartree per atom: -0.1847
Size of the total moment, μB/cell: 0.0

=====

Record 21
VASP calculation (PBE) on a geometry-optimized Na2YCuCl6 structure.

a b c (Å): 7.244 7.244 7.244
angles (deg): 60.00 60.00 60.00
Each line ends with the local moment (μB).
Atoms (fractional coordinates):
Cl 0.744 0.256 0.256  0.00
Na 0.750 0.750 0.750  0.00
Cu 0.500 0.500 0.500  0.06
Cl 0.744 0.256 0.744  0.00
Na 0.250 0.250 0.250  0.00
Y 0.000 0.000 0.000  0.00
Cl 0.256 0.744 0.256  0.00
Cl 0.744 0.744 0.256  0.00
Cl 0.256 0.256 0.744  0.00
Cl 0.256 0.744 0.744  0.00

## Properties
Symmetry: No. 225
E_form (uncorrected), eV/atom: -1.55
ρ, Mg/m³: 2.54
E_tot, hartree per atom: -0.1463
Size of the total moment, μB/cell: 0.1

=====

Record 22
VASP calculation (PBE) on a geometry-optimized YPa2Co structure.

a b c (Å): 3.513 3.513 9.282
angles (deg): 79.09 79.09 60.00
Atoms (fractional coordinates):
Co 0.670 0.670 0.990
Pa 0.271 0.271 0.188
Pa 0.062 0.062 0.813
Y 0.497 0.497 0.509

## Properties
Symmetry: No. 160
Energy relative to the elements, eV per atom: 0.02
Energy above the lowest structure with this stoichiometry, eV per formula unit: 0.06
ρ, Mg/m³: 10.46
E_tot, hartree per atom: -0.2983
Size of the total moment, μB/cell: 0.0

=====

Record 23
VASP calculation (PBE) on a geometry-optimized V3NiIr structure.

a b c (Å): 4.255 4.255 4.255
angles (deg): 90.00 90.00 90.00
Atoms (fractional coordinates):
V 0.000 0.000 0.500
V 0.000 0.500 0.000
Ni 0.000 0.000 0.000
V 0.500 0.000 0.000
Ir 0.500 0.500 0.500

## Properties
Symmetry: No. 221
Energy relative to the elements, eV per atom: 0.83
Energy above the lowest structure with this stoichiometry, eV per formula unit: 0.00
ρ, Mg/m³: 8.70
E_tot, hartree per atom: -0.2782
Size of the total moment, μB/cell: 0.0

=====

Record 24
VASP calculation (PBE) on a geometry-optimized DyErMgCr structure.

a b c (Å): 5.167 5.167 5.167
angles (deg): 60.00 60.00 60.00
Each line ends with the local moment (μB).
Atoms (fractional coordinates):
Mg 0.250 0.250 0.250  -0.03
Er 0.000 0.000 0.000  -0.06
Cr 0.750 0.750 0.750  3.41
Dy 0.500 0.500 0.500  -0.06

## Properties
Symmetry: No. 216
Energy relative to the elements, eV per atom: 0.14
ρ, Mg/m³: 6.91
E_tot, hartree per atom: -0.1823
Size of the total moment, μB/cell: 3.5